PBE Dy2MnGa2Co5, relaxed; energy of formation = -1.2 eV per formula unit; raw total energy = -6.1147 eV/atom
1.0
9.4686 0.0000 0.0000
0.0000 9.4686 0.0000
0.0000 0.0000 3.3414
Dy Mn Ga Co
4 2 4 10
Direct
0.1737 0.3263 0.0000
0.3263 0.8263 0.0000
0.6737 0.1737 0.0000
0.8263 0.6737 0.0000
0.0000 0.0000 0.0000
0.5000 0.5000 0.0000
0.1247 0.6247 0.0000
0.3753 0.1247 0.0000
0.6247 0.8753 0.0000
0.8753 0.3753 0.0000
0.0000 0.5000 0.5000
0.0595 0.8027 0.5000
0.1973 0.0595 0.5000
0.3027 0.5595 0.5000
0.4405 0.3027 0.5000
0.5000 0.0000 0.5000
0.5595 0.6973 0.5000
0.6973 0.4405 0.5000
0.8027 0.9405 0.5000
0.9405 0.1973 0.5000

=====

PBE Zr3Cu2Pd4, relaxed; energy of formation = -4.7 eV per formula unit; raw total energy = -6.5904 eV/atom
1.0
6.5365 -4.8568 0.0000
6.5365 4.8568 0.0000
-0.8578 0.0000 4.8193
Zr Cu Pd
6 4 8
Direct
0.1261 0.8739 0.7500
0.2067 0.4549 0.9180
0.4549 0.2067 0.4180
0.5451 0.7933 0.5820
0.7933 0.5451 0.0820
0.8739 0.1261 0.2500
0.0220 0.7681 0.1963
0.2319 0.9780 0.3037
0.7681 0.0220 0.6963
0.9780 0.2319 0.8037
0.0916 0.3354 0.3630
0.3152 0.5691 0.4669
0.3354 0.0916 0.8630
0.4309 0.6848 0.0331
0.5691 0.3152 0.9669
0.6646 0.9084 0.1370
0.6848 0.4309 0.5331
0.9084 0.6646 0.6370

=====

PBE Be2BiIr2, relaxed; energy of formation = 0.2 eV per formula unit; raw total energy = -5.7624 eV/atom
1.0
6.9978 0.0000 0.0000
0.0000 6.9978 0.0000
0.0000 0.0000 2.9596
Be Bi Ir
4 2 4
Direct
0.1181 0.3819 0.0000
0.3819 0.8819 0.0000
0.6181 0.1181 0.0000
0.8819 0.6181 0.0000
0.0000 0.0000 0.0000
0.5000 0.5000 0.0000
0.1528 0.6528 0.5000
0.3472 0.1528 0.5000
0.6528 0.8472 0.5000
0.8472 0.3472 0.5000

=====

PBE GdBe2H6, relaxed; raw total energy = -4.7307 eV/atom
1.0
4.3648 -2.5493 0.0000
4.3648 2.5493 0.0000
-4.0639 0.0000 4.9528
Gd Be H
1 2 6
Direct
0.0000 0.0000 0.0000
0.1598 0.1598 0.6568
0.8402 0.8402 0.3432
0.0118 0.4930 0.7472
0.0158 0.0158 0.3562
0.4930 0.0118 0.7472
0.5070 0.9882 0.2528
0.9842 0.9842 0.6438
0.9882 0.5070 0.2528

=====

PBE SrPuPa2O8, relaxed; energy relative to the elements, uncorrected = -3.4087 eV per atom; raw total energy = -9.6313 eV/atom
1.0
-2.7422 2.7422 5.4301
2.7422 -2.7422 5.4301
2.7422 2.7422 -5.4301
Sr Pu Pa O
1 1 2 8
Direct
0.0000 0.0000 0.0000
0.2500 0.7500 0.5000
0.5000 0.5000 0.0000
0.7500 0.2500 0.5000
0.1308 0.1373 0.5281
0.1308 0.6026 0.9935
0.3974 0.3909 0.5281
0.3974 0.8692 0.0065
0.6091 0.1373 0.0065
0.6091 0.6026 0.4719
0.8627 0.3909 0.9935
0.8627 0.8692 0.4719

=====

PBE KAsO2, relaxed; energy relative to the elements, uncorrected = -0.8237 eV per atom; raw total energy = -4.7396 eV/atom
1.0
1.7478 1.0091 6.8371
-1.7478 1.0091 6.8371
0.0000 -2.0182 6.8371
K As O
1 1 2
Direct
0.0000 0.0000 0.0000
0.5000 0.5000 0.5000
0.4151 0.4151 0.4151
0.5849 0.5849 0.5849

=====

Which formula does entry 3 have?
Be2BiIr2